Entry 1:
NaTlAgBr3: relaxed, GGA-PBE.

a = 4.4070 Å, b = 9.0685 Å, c = 9.9857 Å
α = 104.07°, β = 90.00°, γ = 90.00°
Sites, in units of the cell vectors:
Br  0.7500  0.4423  0.1616
Br  0.7500  0.2335  0.5263
Br  0.2500  0.1091  0.8654
Br  0.2500  0.5577  0.8384
Br  0.2500  0.7665  0.4737
Br  0.7500  0.8909  0.1346
Tl  0.2500  0.2003  0.2123
Tl  0.7500  0.7997  0.7877
Na  0.7500  0.3408  0.8577
Na  0.2500  0.6592  0.1423
Ag  0.2500  0.0821  0.5897
Ag  0.7500  0.9179  0.4103

Computed properties:
Formation energy from raw total energies (eV/atom): -0.908
Theoretical density (g cm⁻³): 4.9
Spin magnetization (μB/cell): 0.00

Entry 2:
Te2RhBr: relaxed, GGA-PBE.

a = 4.1038 Å, b = 8.7721 Å, c = 6.7538 Å
α = 90.79°, β = 101.32°, γ = 87.72°
Sites, in units of the cell vectors:
Br  0.6051  0.0838  0.7822
Br  0.0624  0.8824  0.2934
Te  0.5002  0.6285  0.0247
Te  0.6465  0.6281  0.5533
Te  0.1708  0.3377  0.0518
Te  0.0245  0.3381  0.5232
Rh  0.0767  0.5884  0.2886
Rh  0.5941  0.3778  0.7878

Computed properties:
Formation energy from raw total energies (eV/atom): -0.319
Theoretical density (g cm⁻³): 6.1
Spin magnetization (μB/cell): 0.00

Entry 3:
LiIn3Si: relaxed, GGA-PBE.

a = 4.9665 Å, b = 4.9665 Å, c = 4.9665 Å
α = 90.00°, β = 90.00°, γ = 90.00°
Sites, in units of the cell vectors:
In  0.0000  0.0000  0.5000
In  0.5000  0.0000  0.0000
In  0.0000  0.5000  0.0000
Si  0.5000  0.5000  0.5000
Li  0.0000  0.0000  0.0000

Computed properties:
Formation energy from raw total energies (eV/atom): 0.492
Offset from the most stable computed form (meV/atom): 136
Theoretical density (g cm⁻³): 5.1
Spin magnetization (μB/cell): 0.00